Entry 1:
# SmEuHgSb, relaxed, DFT PBE-GGA
data_SmEuHgSb
_chemical_formula_sum 'Sm1 Eu1 Hg1 Sb1'
_symmetry_space_group_name_H-M 'P 1'
_symmetry_Int_Tables_number 1
_cell_length_a 5.451
_cell_length_b 5.451
_cell_length_c 5.451
_cell_angle_alpha 60.00
_cell_angle_beta 60.00
_cell_angle_gamma 60.00
loop_
_symmetry_equiv_pos_as_xyz
'x,y,z'
loop_
_atom_site_label
_atom_site_type_symbol
_atom_site_fract_x
_atom_site_fract_y
_atom_site_fract_z
Sm1 Sm 0.000 0.000 0.000
Eu1 Eu 0.500 0.500 0.500
Hg1 Hg 0.250 0.250 0.250
Sb1 Sb 0.750 0.750 0.750
# - Space-group type: No. 216
# - Uncorrected formation energy: -262 kJ/mol of formula units



Entry 2:
# Ba2Y, relaxed, DFT PBE-GGA
data_Ba2Y
_chemical_formula_sum 'Ba4 Y2'
_symmetry_space_group_name_H-M 'P 1'
_symmetry_Int_Tables_number 1
_cell_length_a 7.784
_cell_length_b 7.784
_cell_length_c 9.767
_cell_angle_alpha 109.23
_cell_angle_beta 109.23
_cell_angle_gamma 32.38
loop_
_symmetry_equiv_pos_as_xyz
'x,y,z'
loop_
_atom_site_label
_atom_site_type_symbol
_atom_site_fract_x
_atom_site_fract_y
_atom_site_fract_z
Ba1 Ba 0.000 0.000 0.000
Ba2 Ba 0.003 0.003 0.518
Ba3 Ba 0.314 0.314 0.202
Ba4 Ba 0.695 0.695 0.824
Y1 Y 0.323 0.323 0.624
Y2 Y 0.665 0.665 0.373
# - Space-group type: No. 8
# - Excess energy over the best structure of this formula in the dataset: 0.0378 eV/atom
# - Energy relative to the elements: 0.21 eV per atom



Entry 3:
# Ca3BeRu, relaxed, DFT PBE-GGA
data_Ca3BeRu
_chemical_formula_sum 'Ca3 Be1 Ru1'
_symmetry_space_group_name_H-M 'P 1'
_symmetry_Int_Tables_number 1
_cell_length_a 5.282
_cell_length_b 5.282
_cell_length_c 5.282
_cell_angle_alpha 90.00
_cell_angle_beta 90.00
_cell_angle_gamma 90.00
loop_
_symmetry_equiv_pos_as_xyz
'x,y,z'
loop_
_atom_site_label
_atom_site_type_symbol
_atom_site_fract_x
_atom_site_fract_y
_atom_site_fract_z
Ca1 Ca 0.000 0.000 0.500
Ca2 Ca 0.000 0.500 0.000
Ca3 Ca 0.500 0.000 0.000
Be1 Be 0.000 0.000 0.000
Ru1 Ru 0.500 0.500 0.500
# - Space-group type: No. 221
# - Excess energy over the best structure of this formula in the dataset: 0.2774 eV/atom
# - Energy relative to the elements: 0.88 eV per atom